#i
Here is a relaxed structure of Cu2AgW from Alexandria via LeMat-Bulk. Energies are from PBE.

Lattice parameters (Å, degrees): 9.6450 2.6571 4.7192 90.00 106.69 90.00
Space group Cm (No. 8)
Inequivalent atoms, fractional coordinates:
Cu  0.0000  0.0000  0.0000 (multiplicity 2)
Cu  0.2138  0.5000  0.3207 (multiplicity 2)
Ag  0.4718  0.0000  0.4896 (multiplicity 2)
W  0.2505  0.0000  0.8448 (multiplicity 2)

Calculated values
- N(E_F): 0.76 states/eV/atom
- Density: 12006 kg/m3
- Total magnetization: 0.00 μB/cell



#ii
Here is a relaxed structure of Cu2AgW from Alexandria via LeMat-Bulk. Energies are from PBE.

Lattice parameters (Å, degrees): 2.7129 2.7129 7.8481 90.00 90.00 90.00
Space group P4mm (No. 99)
Inequivalent atoms, fractional coordinates:
Cu  0.0000  0.0000  0.0000 (multiplicity 1)
Cu  0.5000  0.5000  0.2127 (multiplicity 1)
Ag  0.5000  0.5000  0.7446 (multiplicity 1)
W  0.0000  0.0000  0.4551 (multiplicity 1)

Calculated values
- N(E_F): 0.87 states/eV/atom
- Density: 12040 kg/m3
- Total magnetization: 0.00 μB/cell



#iii
Here is a relaxed structure of Cu2AgW from Alexandria via LeMat-Bulk. Energies are from PBE.

Lattice parameters (Å, degrees): 2.6344 4.2371 5.3445 90.00 104.12 90.00
Space group Pm (No. 6)
Inequivalent atoms, fractional coordinates:
Cu  0.0000  0.0000  0.0000 (multiplicity 1)
Cu  0.1303  0.5000  0.2695 (multiplicity 1)
Ag  0.3897  0.5000  0.7826 (multiplicity 1)
W  0.7297  0.0000  0.4668 (multiplicity 1)

Calculated values
- N(E_F): 0.64 states/eV/atom
- Density: 12020 kg/m3
- Total magnetization: 0.00 μB/cell



Which one sits at the top of the stability order? #ii does.



#i
Here is a relaxed structure of CuAgW from Alexandria via LeMat-Bulk. Energies are from PBE.

Lattice parameters (Å, degrees): 2.7685 2.7685 7.0104 90.00 90.00 120.00
Space group P3m1 (No. 156)
Inequivalent atoms, fractional coordinates:
Cu  0.0000  0.0000  0.0000 (multiplicity 1)
Ag  0.6667  0.3333  0.6731 (multiplicity 1)
W  0.3333  0.6667  0.3124 (multiplicity 1)

Calculated values
- N(E_F): 0.76 states/eV/atom
- Density: 12677 kg/m3
- Total magnetization: 0.00 μB/cell



#ii
Here is a relaxed structure of CuAgW from Alexandria via LeMat-Bulk. Energies are from PBE.

Lattice parameters (Å, degrees): 3.2332 4.2582 13.4511 90.00 90.00 90.00
Space group Fmm2 (No. 42)
Inequivalent atoms, fractional coordinates:
Cu  0.0000  0.0000  0.0000 (multiplicity 4)
Ag  0.0000  0.0000  0.6642 (multiplicity 4)
W  0.0000  0.0000  0.3446 (multiplicity 4)

Calculated values
- N(E_F): 0.60 states/eV/atom
- Density: 12742 kg/m3
- Total magnetization: 0.00 μB/cell



#iii
Here is a relaxed structure of CuAgW from Alexandria via LeMat-Bulk. Energies are from PBE.

Lattice parameters (Å, degrees): 5.8628 5.8628 5.8628 90.00 90.00 90.00
Space group F-43m (No. 216)
Inequivalent atoms, fractional coordinates:
Cu  0.0000  0.0000  0.0000 (multiplicity 4)
Ag  0.2500  0.2500  0.2500 (multiplicity 4)
W  0.2500  0.2500  0.7500 (multiplicity 4)

Calculated values
- N(E_F): 0.13 states/eV/atom
- Density: 11709 kg/m3
- Total magnetization: 0.00 μB/cell



Which one sits at the top of the stability order? #i does.



#i
Here is a relaxed structure of Y2CuAg2 from Alexandria via LeMat-Bulk. Energies are from PBE.

Lattice parameters (Å, degrees): 7.8463 7.8463 4.0112 90.00 90.00 90.00
Space group P4/mbm (No. 127)
Inequivalent atoms, fractional coordinates:
Y  0.1668  0.3332  0.0000 (multiplicity 4)
Cu  0.0000  0.0000  0.0000 (multiplicity 2)
Ag  0.1299  0.6299  0.5000 (multiplicity 4)

Calculated values
- N(E_F): 0.57 states/eV/atom
- Density: 6147 kg/m3
- Total magnetization: 0.00 μB/cell



#ii
Here is a relaxed structure of Y2CuAg2 from Alexandria via LeMat-Bulk. Energies are from PBE.

Lattice parameters (Å, degrees): 7.3369 7.3369 4.2586 90.00 90.00 90.00
Space group P4/mbm (No. 127)
Inequivalent atoms, fractional coordinates:
Y  0.1737  0.3263  0.0000 (multiplicity 4)
Cu  0.0000  0.0000  0.5000 (multiplicity 2)
Ag  0.1335  0.6335  0.5000 (multiplicity 4)

Calculated values
- N(E_F): 1.18 states/eV/atom
- Density: 6622 kg/m3
- Total magnetization: 0.00 μB/cell



#iii
Here is a relaxed structure of Y2CuAg2 from Alexandria via LeMat-Bulk. Energies are from PBE.

Lattice parameters (Å, degrees): 3.7575 3.7575 16.8101 90.00 90.00 90.00
Space group I4/mmm (No. 139)
Inequivalent atoms, fractional coordinates:
Y  0.0000  0.0000  0.0972 (multiplicity 4)
Cu  0.0000  0.0000  0.5000 (multiplicity 2)
Ag  0.0000  0.5000  0.2500 (multiplicity 4)

Calculated values
- N(E_F): 1.19 states/eV/atom
- Density: 6396 kg/m3
- Total magnetization: 0.00 μB/cell



Which one sits at the top of the stability order? #ii does.



#i
Here is a relaxed structure of YCuAg2 from Alexandria via LeMat-Bulk. Energies are from PBE.

Lattice parameters (Å, degrees): 5.7290 10.1925 3.2670 90.00 121.98 90.00
Space group C2/m (No. 12)
Inequivalent atoms, fractional coordinates:
Y  0.0000  0.0000  0.0000 (multiplicity 2)
Cu  0.0000  0.5000  0.0000 (multiplicity 2)
Ag  0.2500  0.2500  0.5000 (multiplicity 4)

Calculated values
- N(E_F): 0.54 states/eV/atom
- Density: 7557 kg/m3
- Total magnetization: 0.00 μB/cell



#ii
Here is a relaxed structure of YCuAg2 from Alexandria via LeMat-Bulk. Energies are from PBE.

Lattice parameters (Å, degrees): 3.4740 3.4740 6.4800 90.00 90.00 90.00
Space group P4mm (No. 99)
Inequivalent atoms, fractional coordinates:
Y  0.0000  0.0000  0.0000 (multiplicity 1)
Cu  0.5000  0.5000  0.7329 (multiplicity 1)
Ag  0.0000  0.0000  0.5315 (multiplicity 1)
Ag  0.5000  0.5000  0.2977 (multiplicity 1)

Calculated values
- N(E_F): 0.33 states/eV/atom
- Density: 7818 kg/m3
- Total magnetization: 0.00 μB/cell



Which one sits at the top of the stability order? #ii does.



#i
Here is a relaxed structure of YCu2Ag2 from Alexandria via LeMat-Bulk. Energies are from PBE.

Lattice parameters (Å, degrees): 7.2652 7.2652 3.4188 90.00 90.00 90.00
Space group P4/mbm (No. 127)
Inequivalent atoms, fractional coordinates:
Y  0.0000  0.0000  0.0000 (multiplicity 2)
Cu  0.1205  0.3795  0.0000 (multiplicity 4)
Ag  0.1717  0.6717  0.5000 (multiplicity 4)

Calculated values
- N(E_F): 0.54 states/eV/atom
- Density: 7945 kg/m3
- Total magnetization: 0.00 μB/cell



#ii
Here is a relaxed structure of YCu2Ag2 from Alexandria via LeMat-Bulk. Energies are from PBE.

Lattice parameters (Å, degrees): 4.0032 4.0032 11.6785 90.00 90.00 90.00
Space group I4/mmm (No. 139)
Inequivalent atoms, fractional coordinates:
Y  0.0000  0.0000  0.0000 (multiplicity 2)
Cu  0.0000  0.0000  0.3997 (multiplicity 4)
Ag  0.0000  0.5000  0.2500 (multiplicity 4)

Calculated values
- N(E_F): 0.57 states/eV/atom
- Density: 7661 kg/m3
- Total magnetization: 0.00 μB/cell



Which one sits at the top of the stability order? #ii does.



#i
Here is a relaxed structure of Y2Cu2Ag from Alexandria via LeMat-Bulk. Energies are from PBE.

Lattice parameters (Å, degrees): 3.9709 14.2687 3.6837 90.00 90.00 90.00
Space group Cmmm (No. 65)
Inequivalent atoms, fractional coordinates:
Y  0.0000  0.1269  0.0000 (multiplicity 4)
Cu  0.0000  0.2998  0.5000 (multiplicity 4)
Ag  0.0000  0.5000  0.5000 (multiplicity 2)

Calculated values
- N(E_F): 0.69 states/eV/atom
- Density: 6568 kg/m3
- Total magnetization: 0.00 μB/cell



#ii
Here is a relaxed structure of Y2Cu2Ag from Alexandria via LeMat-Bulk. Energies are from PBE.

Lattice parameters (Å, degrees): 3.5134 3.5134 17.3690 90.00 90.00 90.00
Space group I4/mmm (No. 139)
Inequivalent atoms, fractional coordinates:
Y  0.0000  0.0000  0.1117 (multiplicity 4)
Cu  0.0000  0.5000  0.2500 (multiplicity 4)
Ag  0.0000  0.0000  0.5000 (multiplicity 2)

Calculated values
- N(E_F): 0.80 states/eV/atom
- Density: 6394 kg/m3
- Total magnetization: 0.00 μB/cell



Which one sits at the top of the stability order? #i does.



#i
Here is a relaxed structure of Y2Cu2Ag from Alexandria via LeMat-Bulk. Energies are from PBE.

Lattice parameters (Å, degrees): 7.4290 7.4290 3.7697 90.00 90.00 90.00
Space group P4/mbm (No. 127)
Inequivalent atoms, fractional coordinates:
Y  0.1775  0.3225  0.0000 (multiplicity 4)
Cu  0.1189  0.6189  0.5000 (multiplicity 4)
Ag  0.0000  0.0000  0.5000 (multiplicity 2)

Calculated values
- N(E_F): 0.79 states/eV/atom
- Density: 6589 kg/m3
- Total magnetization: 0.00 μB/cell



#ii
Here is a relaxed structure of Y2Cu2Ag from Alexandria via LeMat-Bulk. Energies are from PBE.

Lattice parameters (Å, degrees): 5.4176 5.4176 7.5649 90.00 90.00 90.00
Space group I4/mmm (No. 139)
Inequivalent atoms, fractional coordinates:
Y  0.0000  0.5000  0.2500 (multiplicity 4)
Cu  0.0000  0.0000  0.1475 (multiplicity 4)
Ag  0.0000  0.0000  0.5000 (multiplicity 2)

Calculated values
- N(E_F): 1.19 states/eV/atom
- Density: 6174 kg/m3
- Total magnetization: 0.00 μB/cell



#iii
Here is a relaxed structure of Y2Cu2Ag from Alexandria via LeMat-Bulk. Energies are from PBE.

Lattice parameters (Å, degrees): 8.0376 8.0376 3.4605 90.00 90.00 90.00
Space group P4/mbm (No. 127)
Inequivalent atoms, fractional coordinates:
Y  0.1671  0.3329  0.0000 (multiplicity 4)
Cu  0.1186  0.6186  0.5000 (multiplicity 4)
Ag  0.0000  0.0000  0.0000 (multiplicity 2)

Calculated values
- N(E_F): 0.98 states/eV/atom
- Density: 6132 kg/m3
- Total magnetization: 0.00 μB/cell



Which one sits at the top of the stability order? #i does.



#i
Here is a relaxed structure of Y2CuAg from Alexandria via LeMat-Bulk. Energies are from PBE.

Lattice parameters (Å, degrees): 4.0984 4.0984 21.1441 90.00 90.00 120.00
Space group R-3m (No. 166, hexagonal axes)
Inequivalent atoms, fractional coordinates:
Y  0.0000  0.0000  0.2431 (multiplicity 6)
Cu  0.0000  0.0000  0.5000 (multiplicity 3)
Ag  0.0000  0.0000  0.0000 (multiplicity 3)

Calculated values
- N(E_F): 0.95 states/eV/atom
- Density: 5657 kg/m3
- Total magnetization: 0.00 μB/cell



#ii
Here is a relaxed structure of Y2CuAg from Alexandria via LeMat-Bulk. Energies are from PBE.

Lattice parameters (Å, degrees): 3.7750 4.6503 5.6806 90.00 109.09 90.00
Space group Pm (No. 6)
Inequivalent atoms, fractional coordinates:
Y  0.0000  0.0000  0.0000 (multiplicity 1)
Y  0.2810  0.5000  0.5661 (multiplicity 1)
Cu  0.7159  0.0000  0.4380 (multiplicity 1)
Ag  0.5666  0.5000  0.1325 (multiplicity 1)

Calculated values
- N(E_F): 0.87 states/eV/atom
- Density: 6153 kg/m3
- Total magnetization: 0.00 μB/cell



Which one sits at the top of the stability order? #ii does.



#i
Here is a relaxed structure of Y2CuAg from Alexandria via LeMat-Bulk. Energies are from PBE.

Lattice parameters (Å, degrees): 7.1500 7.1500 7.1500 90.00 90.00 90.00
Space group Fm-3m (No. 225)
Inequivalent atoms, fractional coordinates:
Y  0.2500  0.2500  0.2500 (multiplicity 8)
Cu  0.0000  0.0000  0.0000 (multiplicity 4)
Ag  0.0000  0.0000  0.5000 (multiplicity 4)

Calculated values
- N(E_F): 0.43 states/eV/atom
- Density: 6346 kg/m3
- Total magnetization: 0.00 μB/cell



#ii
Here is a relaxed structure of Y2CuAg from Alexandria via LeMat-Bulk. Energies are from PBE.

Lattice parameters (Å, degrees): 3.5598 3.5598 7.1644 90.00 90.00 90.00
Space group P4/mmm (No. 123)
Inequivalent atoms, fractional coordinates:
Y  0.0000  0.0000  0.2367 (multiplicity 2)
Cu  0.5000  0.5000  0.0000 (multiplicity 1)
Ag  0.5000  0.5000  0.5000 (multiplicity 1)

Calculated values
- N(E_F): 0.67 states/eV/atom
- Density: 6388 kg/m3
- Total magnetization: 0.00 μB/cell



#iii
Here is a relaxed structure of Y2CuAg from Alexandria via LeMat-Bulk. Energies are from PBE.

Lattice parameters (Å, degrees): 3.6105 3.6105 7.1581 90.00 90.00 90.00
Space group P4mm (No. 99)
Inequivalent atoms, fractional coordinates:
Y  0.0000  0.0000  0.0000 (multiplicity 1)
Y  0.5000  0.5000  0.3495 (multiplicity 1)
Cu  0.5000  0.5000  0.7771 (multiplicity 1)
Ag  0.0000  0.0000  0.5885 (multiplicity 1)

Calculated values
- N(E_F): 0.67 states/eV/atom
- Density: 6215 kg/m3
- Total magnetization: 0.81 μB/cell



Which one sits at the top of the stability order? #ii does.



#i
Here is a relaxed structure of Y2CuAg from Alexandria via LeMat-Bulk. Energies are from PBE.

Lattice parameters (Å, degrees): 3.5608 3.5608 27.0168 90.00 90.00 120.00
Space group R3m (No. 160, hexagonal axes)
Inequivalent atoms, fractional coordinates:
Y  0.0000  0.0000  0.0000 (multiplicity 3)
Y  0.0000  0.0000  0.2233 (multiplicity 3)
Cu  0.0000  0.0000  0.7410 (multiplicity 3)
Ag  0.0000  0.0000  0.4698 (multiplicity 3)

Calculated values
- N(E_F): 0.82 states/eV/atom
- Density: 5864 kg/m3
- Total magnetization: 1.41 μB/cell



#ii
Here is a relaxed structure of Y2CuAg from Alexandria via LeMat-Bulk. Energies are from PBE.

Lattice parameters (Å, degrees): 10.9097 3.4578 5.0706 90.00 107.03 90.00
Space group Cm (No. 8)
Inequivalent atoms, fractional coordinates:
Y  0.0000  0.0000  0.0000 (multiplicity 2)
Y  0.2124  0.0000  0.6384 (multiplicity 2)
Cu  0.2440  0.5000  0.1540 (multiplicity 2)
Ag  0.4482  0.0000  0.4505 (multiplicity 2)

Calculated values
- N(E_F): 0.88 states/eV/atom
- Density: 6341 kg/m3
- Total magnetization: 0.00 μB/cell



#iii
Here is a relaxed structure of Y2CuAg from Alexandria via LeMat-Bulk. Energies are from PBE.

Lattice parameters (Å, degrees): 7.6693 7.6693 6.9693 90.00 90.00 90.00
Space group I-42d (No. 122)
Inequivalent atoms, fractional coordinates:
Y  0.2279  0.7500  0.1250 (multiplicity 8)
Cu  0.0000  0.0000  0.0000 (multiplicity 4)
Ag  0.0000  0.0000  0.5000 (multiplicity 4)

Calculated values
- N(E_F): 1.68 states/eV/atom
- Density: 5659 kg/m3
- Total magnetization: 0.00 μB/cell



#iv
Here is a relaxed structure of Y2CuAg from Alexandria via LeMat-Bulk. Energies are from PBE.

Lattice parameters (Å, degrees): 6.9493 6.9493 6.9493 90.00 90.00 90.00
Space group F-43m (No. 216)
Inequivalent atoms, fractional coordinates:
Y  0.0000  0.0000  0.0000 (multiplicity 4)
Y  0.2500  0.2500  0.2500 (multiplicity 4)
Cu  0.2500  0.2500  0.7500 (multiplicity 4)
Ag  0.0000  0.0000  0.5000 (multiplicity 4)

Calculated values
- N(E_F): 0.18 states/eV/atom
- Density: 6912 kg/m3
- Total magnetization: 0.00 μB/cell



Which one sits at the top of the stability order? #ii does.